(1)
BPO4: relaxed, PBE.

Values from the calculation:
E_form (uncorrected)   -2.30 eV per atom
Distance to the lowest polymorph of the same formula   0.00 eV per formula unit
Fermi-level density of states   0.0 states/eV per cell
Energy   -7.62 eV per atom

Cell lengths 4.591, 4.591, 4.591 Å; angles 122.17, 122.17, 86.28 degrees
Element x y z (fractional)
B1 0.000 0.000 0.000
P1 0.750 0.250 0.500
O1 0.008 0.635 0.890
O2 0.365 0.255 0.373
O3 0.745 0.118 0.110
O4 0.882 0.992 0.627

(2)
Pa3Au5Se12: relaxed, PBE.

Values from the calculation:
E_form (uncorrected)   -0.58 eV per atom
Fermi-level density of states   38.8 states/eV per cell
Energy   -4.92 eV per atom

Cell lengths 13.841, 13.841, 13.841 Å; angles 109.47, 109.47, 109.47 degrees
Element x y z (fractional)
Pa1 0.125 0.250 0.375
Pa2 0.125 0.375 0.750
Pa3 0.250 0.375 0.125
Pa4 0.250 0.875 0.625
Pa5 0.375 0.125 0.250
Pa6 0.375 0.750 0.125
Pa7 0.625 0.250 0.875
Pa8 0.625 0.875 0.750
Pa9 0.750 0.125 0.375
Pa10 0.750 0.625 0.875
Pa11 0.875 0.625 0.250
Pa12 0.875 0.750 0.625
Au1 0.000 0.000 0.000
Au2 0.000 0.000 0.500
Au3 0.000 0.500 0.000
Au4 0.000 0.500 0.500
Au5 0.125 0.750 0.875
Au6 0.125 0.875 0.250
Au7 0.250 0.125 0.875
Au8 0.250 0.625 0.375
Au9 0.375 0.250 0.625
Au10 0.375 0.625 0.750
Au11 0.500 0.000 0.000
Au12 0.500 0.000 0.500
Au13 0.500 0.500 0.000
Au14 0.500 0.500 0.500
Au15 0.625 0.375 0.250
Au16 0.625 0.750 0.375
Au17 0.750 0.375 0.625
Au18 0.750 0.875 0.125
Au19 0.875 0.125 0.750
Au20 0.875 0.250 0.125
Se1 0.051 0.221 0.134
Se2 0.051 0.329 0.916
Se3 0.084 0.634 0.413
Se4 0.084 0.949 0.671
Se5 0.087 0.721 0.671
Se6 0.087 0.866 0.416
Se7 0.134 0.051 0.221
Se8 0.134 0.584 0.913
Se9 0.171 0.221 0.587
Se10 0.171 0.449 0.584
Se11 0.221 0.134 0.051
Se12 0.221 0.587 0.171
Se13 0.279 0.329 0.913
Se14 0.279 0.449 0.366
Se15 0.329 0.913 0.279
Se16 0.329 0.916 0.051
Se17 0.366 0.279 0.449
Se18 0.366 0.587 0.916
Se19 0.413 0.084 0.634
Se20 0.413 0.829 0.779
Se21 0.416 0.087 0.866
Se22 0.416 0.829 0.551
Se23 0.449 0.366 0.279
Se24 0.449 0.584 0.171
Se25 0.551 0.416 0.829
Se26 0.551 0.634 0.721
Se27 0.584 0.171 0.449
Se28 0.584 0.913 0.134
Se29 0.587 0.171 0.221
Se30 0.587 0.916 0.366
Se31 0.634 0.413 0.084
Se32 0.634 0.721 0.551
Se33 0.671 0.084 0.949
Se34 0.671 0.087 0.721
Se35 0.721 0.551 0.634
Se36 0.721 0.671 0.087
Se37 0.779 0.413 0.829
Se38 0.779 0.866 0.949
Se39 0.829 0.551 0.416
Se40 0.829 0.779 0.413
Se41 0.866 0.416 0.087
Se42 0.866 0.949 0.779
Se43 0.913 0.134 0.584
Se44 0.913 0.279 0.329
Se45 0.916 0.051 0.329
Se46 0.916 0.366 0.587
Se47 0.949 0.671 0.084
Se48 0.949 0.779 0.866

(3)
Tm5CuAu4: relaxed, PBE.

Values from the calculation:
Fermi-level density of states   4.4 states/eV per cell
Energy   -4.73 eV per atom
E_form   -770 meV per atom

Cell lengths 3.510, 3.510, 17.848 Å; angles 90.00, 90.00, 90.00 degrees
Element x y z (fractional)
Tm1 0.000 0.000 0.000
Tm2 0.000 0.000 0.203
Tm3 0.000 0.000 0.405
Tm4 0.000 0.000 0.595
Tm5 0.000 0.000 0.797
Cu1 0.500 0.500 0.500
Au1 0.500 0.500 0.102
Au2 0.500 0.500 0.305
Au3 0.500 0.500 0.695
Au4 0.500 0.500 0.898

(4)
LiAuS2: relaxed, PBE.

Values from the calculation:
E_form (uncorrected)   0.06 eV per atom
Fermi-level density of states   5.8 states/eV per cell
Energy   -3.31 eV per atom

Cell lengths 4.562, 4.562, 4.562 Å; angles 60.00, 60.00, 60.00 degrees
Element x y z (fractional)
Li1 0.000 0.000 0.000
Au1 0.500 0.500 0.500
S1 0.250 0.250 0.250
S2 0.750 0.750 0.750

(5)
NaCaAcCl6: relaxed, PBE.

Values from the calculation:
E_form (uncorrected)   -2.25 eV per atom
Fermi-level density of states   0.0 states/eV per cell
Energy   -4.31 eV per atom

Cell lengths 7.312, 7.312, 12.294 Å; angles 90.00, 90.00, 120.00 degrees
Element x y z (fractional)
Na1 0.000 0.000 0.000
Na2 0.000 0.000 0.500
Ca1 0.333 0.667 0.250
Ca2 0.667 0.333 0.750
Ac1 0.333 0.667 0.750
Ac2 0.667 0.333 0.250
Cl1 0.014 0.352 0.128
Cl2 0.014 0.663 0.372
Cl3 0.337 0.352 0.372
Cl4 0.337 0.986 0.128
Cl5 0.352 0.014 0.628
Cl6 0.352 0.337 0.872
Cl7 0.648 0.663 0.128
Cl8 0.648 0.986 0.372
Cl9 0.663 0.014 0.872
Cl10 0.663 0.648 0.628
Cl11 0.986 0.337 0.628
Cl12 0.986 0.648 0.872

(6)
WCSe3: relaxed, PBE.

Values from the calculation:
E_form (uncorrected)   1.45 eV per atom
Distance to the lowest polymorph of the same formula   0.00 eV per formula unit
Fermi-level density of states   2.6 states/eV per cell
Energy   -5.08 eV per atom

Cell lengths 4.303, 4.303, 4.303 Å; angles 90.00, 90.00, 90.00 degrees
Element x y z (fractional)
W1 0.000 0.000 0.000
C1 0.500 0.500 0.500
Se1 0.000 0.500 0.500
Se2 0.500 0.000 0.500
Se3 0.500 0.500 0.000

(7)
MgBeRe2: relaxed, PBE.

Values from the calculation:
Distance to the lowest polymorph of the same formula   0.68 eV per formula unit
Fermi-level density of states   3.3 states/eV per cell
Energy   -7.33 eV per atom
E_form   220 meV per atom

Cell lengths 2.646, 2.646, 8.366 Å; angles 90.00, 90.00, 106.94 degrees
Element x y z (fractional)
Mg1 0.000 0.000 0.000
Be1 0.000 0.000 0.500
Re1 0.500 0.500 0.278
Re2 0.500 0.500 0.722

(8)
LaTh2Hg6: relaxed, PBE.

Values from the calculation:
Fermi-level density of states   4.7 states/eV per cell
Energy   -2.73 eV per atom
E_form   -333 meV per atom

Cell lengths 8.834, 8.834, 3.430 Å; angles 90.00, 90.00, 120.00 degrees
Element x y z (fractional)
La1 0.000 0.000 0.000
Th1 0.333 0.667 0.000
Th2 0.667 0.333 0.000
Hg1 0.000 0.334 0.500
Hg2 0.000 0.666 0.500
Hg3 0.334 0.000 0.500
Hg4 0.334 0.334 0.500
Hg5 0.666 0.000 0.500
Hg6 0.666 0.666 0.500